--- P ---
The following is a DFT calculation (PBE) of a geometry-optimized KReO2 structure.

Summary:
- Space group: I-42d, No. 122
- Magnetic moment: 0.0 μB/f.u.

extended XYZ file:
```
8
Lattice="-2.5116 2.5116 5.6314 2.5116 -2.5116 5.6314 2.5116 2.5116 -5.6314" Properties=species:S:1:pos:R:3 pbc="T T T"
K 0.0000 0.0000 0.0000
K 0.0000 2.5116 2.8157
Re 2.5116 0.0000 2.8157
Re 0.0000 0.0000 5.6314
O 1.2558 -0.4649 4.2236
O 2.0467 1.2558 1.4079
O 1.2558 2.9765 -1.4079
O 0.4649 1.2558 7.0393
```

=====

--- Q ---
The following is a DFT calculation (PBE) of a geometry-optimized KReO2 structure.

Summary:
- Space group: Fm-3m, No. 225
- Magnetic moment: 0.0 μB/f.u.

extended XYZ file:
```
4
Lattice="0.0000 2.8480 2.8480 2.8480 0.0000 2.8480 2.8480 2.8480 0.0000" Properties=species:S:1:pos:R:3 pbc="T T T"
K 0.0000 0.0000 0.0000
Re 2.8480 2.8480 2.8480
O 1.4240 1.4240 1.4240
O 4.2721 4.2721 4.2721
```

=====

The structure with the most favorable energy is P; the runner-up is 1146 meV per atom above it.